(1)
Compound: CrPW2
Source: the Alexandria database
Functional: PBE
Structure: relaxed

As for the spin magnetization: 0.00 μB per atom. For the uncorrected energy, the calculation gives -10.03 eV/atom.

It has space group I-4m2 (No. 119), with a = 3.561 Å, b = 3.561 Å, c = 8.793 Å, α = 90.00°, β = 90.00° and γ = 90.00°. The distinct sites, in fractional coordinates, are Cr at (0.000, 0.000, 0.000), P at (0.000, 0.500, 0.750), W at (0.000, 0.000, 0.500) and W at (0.000, 0.500, 0.250).

=====

(2)
Compound: CrPW2
Source: the Alexandria database
Functional: PBE
Structure: relaxed

As for the spin magnetization: 0.00 μB per atom. For the uncorrected energy, the calculation gives -9.97 eV/atom.

It has space group Cmmm (No. 65), with a = 3.217 Å, b = 4.574 Å, c = 7.764 Å, α = 90.00°, β = 90.00° and γ = 90.00°. The distinct sites, in fractional coordinates, are Cr at (0.000, 0.000, 0.000), P at (0.000, 0.000, 0.500) and W at (0.000, 0.500, 0.258).

=====

(3)
Compound: CrPW2
Source: the Alexandria database
Functional: PBE
Structure: relaxed

As for the spin magnetization: 0.00 μB per atom. For the uncorrected energy, the calculation gives -10.06 eV/atom.

It has space group Pmm2 (No. 25), with a = 2.965 Å, b = 3.893 Å, c = 4.946 Å, α = 90.00°, β = 90.00° and γ = 90.00°. The distinct sites, in fractional coordinates, are Cr at (0.000, 0.000, 0.000), P at (0.500, 0.500, 0.234), W at (0.000, 0.000, 0.472) and W at (0.500, 0.500, 0.745).

=====

(4)
Compound: CrPW
Source: the Alexandria database
Functional: PBE
Structure: relaxed

As for the spin magnetization: 0.00 μB per atom. For the uncorrected energy, the calculation gives -9.35 eV/atom.

It has space group P3m1 (No. 156), with a = 4.0232 Å, b = 4.0232 Å, c = 2.8274 Å, α = 90.00°, β = 90.00° and γ = 120.00°. The distinct sites, in fractional coordinates, are Cr at (0.0000, 0.0000, 0.0000), P at (0.6667, 0.3333, 0.9834) and W at (0.3333, 0.6667, 0.4319).